Entry 1:
DFT (GGA+U) results for a relaxed structure of Li3VSi2O7. Values from VASP.

The structure in Quantum ESPRESSO input format:
```
&SYSTEM
  ibrav = 0, nat = 52, ntyp = 4
/
ATOMIC_SPECIES
Li 6.94 Li.upf
V 50.94 V.upf
Si 28.09 Si.upf
O 16.00 O.upf
CELL_PARAMETERS angstrom
9.033 0.000 0.000
0.000 12.483 0.000
0.000 0.000 5.013
ATOMIC_POSITIONS crystal
Li 0.017 0.250 0.017
Li 0.173 0.592 0.529
Li 0.173 0.908 0.529
Li 0.327 0.092 0.029
Li 0.327 0.408 0.029
Li 0.483 0.750 0.517
Li 0.517 0.250 0.483
Li 0.673 0.592 0.971
Li 0.673 0.908 0.971
Li 0.827 0.092 0.471
Li 0.827 0.408 0.471
Li 0.983 0.750 0.983
V 0.000 0.000 0.000
V 0.000 0.500 0.000
V 0.500 0.000 0.500
V 0.500 0.500 0.500
Si 0.182 0.132 0.505
Si 0.182 0.368 0.505
Si 0.318 0.632 0.005
Si 0.318 0.868 0.005
Si 0.682 0.132 0.995
Si 0.682 0.368 0.995
Si 0.818 0.632 0.495
Si 0.818 0.868 0.495
O 0.106 0.036 0.332
O 0.106 0.464 0.332
O 0.116 0.250 0.395
O 0.140 0.628 0.932
O 0.140 0.872 0.932
O 0.143 0.120 0.821
O 0.143 0.380 0.821
O 0.357 0.620 0.321
O 0.357 0.880 0.321
O 0.360 0.128 0.432
O 0.360 0.372 0.432
O 0.384 0.750 0.895
O 0.394 0.536 0.832
O 0.394 0.964 0.832
O 0.606 0.036 0.168
O 0.606 0.464 0.168
O 0.616 0.250 0.105
O 0.640 0.628 0.568
O 0.640 0.872 0.568
O 0.643 0.120 0.679
O 0.643 0.380 0.679
O 0.857 0.620 0.179
O 0.857 0.880 0.179
O 0.860 0.128 0.068
O 0.860 0.372 0.068
O 0.884 0.750 0.605
O 0.894 0.536 0.668
O 0.894 0.964 0.668
```

Output
Total magnetization: 0.15 μB/atom
Total DFT energy (no corrections): -361.2 eV per cell


Entry 2:
DFT (GGA+U) results for a relaxed structure of LiVSiO4. Values from VASP.

The structure in Quantum ESPRESSO input format:
```
&SYSTEM
  ibrav = 0, nat = 112, ntyp = 4
/
ATOMIC_SPECIES
Li 6.94 Li.upf
V 50.94 V.upf
Si 28.09 Si.upf
O 16.00 O.upf
CELL_PARAMETERS angstrom
8.940 -5.036 0.000
8.940 5.036 0.000
-6.359 0.000 16.299
ATOMIC_POSITIONS crystal
Li 0.034 0.966 0.500
Li 0.090 0.475 0.498
Li 0.212 0.360 0.748
Li 0.278 0.860 0.748
Li 0.360 0.212 0.248
Li 0.361 0.709 0.245
Li 0.466 0.589 0.995
Li 0.475 0.090 0.998
Li 0.530 0.956 0.496
Li 0.589 0.466 0.495
Li 0.709 0.361 0.745
Li 0.778 0.860 0.747
Li 0.860 0.278 0.248
Li 0.860 0.778 0.247
Li 0.956 0.530 0.996
Li 0.966 0.034 0.000
V 0.095 0.724 0.869
V 0.158 0.223 0.871
V 0.223 0.158 0.371
V 0.225 0.657 0.369
V 0.330 0.908 0.118
V 0.331 0.404 0.117
V 0.404 0.331 0.617
V 0.476 0.831 0.622
V 0.593 0.728 0.869
V 0.657 0.225 0.869
V 0.724 0.095 0.369
V 0.728 0.593 0.369
V 0.829 0.977 0.120
V 0.831 0.476 0.122
V 0.908 0.330 0.618
V 0.977 0.829 0.620
Si 0.032 0.970 0.310
Si 0.034 0.470 0.311
Si 0.152 0.721 0.058
Si 0.155 0.225 0.060
Si 0.225 0.155 0.560
Si 0.284 0.656 0.561
Si 0.409 0.532 0.807
Si 0.470 0.034 0.811
Si 0.530 0.908 0.307
Si 0.532 0.409 0.307
Si 0.652 0.782 0.060
Si 0.656 0.284 0.061
Si 0.721 0.152 0.558
Si 0.782 0.652 0.560
Si 0.908 0.530 0.807
Si 0.970 0.032 0.810
O 0.013 0.442 0.886
O 0.016 0.946 0.887
O 0.055 0.112 0.303
O 0.059 0.609 0.300
O 0.074 0.148 0.569
O 0.112 0.055 0.803
O 0.145 0.573 0.071
O 0.148 0.074 0.069
O 0.179 0.735 0.479
O 0.192 0.236 0.484
O 0.195 0.776 0.638
O 0.203 0.818 0.323
O 0.204 0.317 0.324
O 0.220 0.680 0.975
O 0.229 0.564 0.795
O 0.236 0.192 0.984
O 0.269 0.274 0.142
O 0.271 0.768 0.136
O 0.274 0.269 0.642
O 0.293 0.487 0.548
O 0.317 0.204 0.824
O 0.370 0.979 0.549
O 0.408 0.700 0.824
O 0.409 0.989 0.228
O 0.411 0.487 0.227
O 0.431 0.912 0.731
O 0.442 0.013 0.386
O 0.447 0.516 0.387
O 0.458 0.640 0.578
O 0.481 0.794 0.048
O 0.487 0.293 0.048
O 0.487 0.411 0.727
O 0.516 0.447 0.887
O 0.521 0.951 0.889
O 0.564 0.229 0.295
O 0.566 0.728 0.293
O 0.573 0.145 0.571
O 0.609 0.059 0.800
O 0.640 0.458 0.078
O 0.641 0.954 0.077
O 0.674 0.719 0.475
O 0.680 0.220 0.475
O 0.694 0.775 0.637
O 0.695 0.913 0.324
O 0.700 0.408 0.324
O 0.719 0.674 0.975
O 0.728 0.566 0.793
O 0.735 0.179 0.979
O 0.768 0.271 0.636
O 0.775 0.694 0.137
O 0.776 0.195 0.138
O 0.794 0.481 0.548
O 0.818 0.203 0.823
O 0.870 0.978 0.548
O 0.912 0.431 0.231
O 0.912 0.931 0.229
O 0.913 0.695 0.824
O 0.931 0.912 0.729
O 0.946 0.016 0.387
O 0.951 0.521 0.389
O 0.954 0.641 0.577
O 0.978 0.870 0.048
O 0.979 0.370 0.049
O 0.989 0.409 0.728
```

Output
Total magnetization: 0.29 μB/atom
Total DFT energy (no corrections): -818.6 eV per cell


Entry 3:
DFT (GGA+U) results for a relaxed structure of LiVSiO4. Values from VASP.

The structure in Quantum ESPRESSO input format:
```
&SYSTEM
  ibrav = 0, nat = 56, ntyp = 4
/
ATOMIC_SPECIES
Li 6.94 Li.upf
V 50.94 V.upf
Si 28.09 Si.upf
O 16.00 O.upf
CELL_PARAMETERS angstrom
10.321 0.000 0.000
0.000 5.179 0.000
0.000 0.000 13.576
ATOMIC_POSITIONS crystal
Li 0.034 0.092 0.000
Li 0.214 0.442 0.245
Li 0.286 0.442 0.745
Li 0.466 0.092 0.500
Li 0.534 0.908 0.000
Li 0.714 0.558 0.245
Li 0.786 0.558 0.745
Li 0.966 0.908 0.500
V 0.038 0.924 0.249
V 0.213 0.448 0.495
V 0.287 0.448 0.995
V 0.462 0.924 0.749
V 0.538 0.076 0.249
V 0.713 0.552 0.495
V 0.787 0.552 0.995
V 0.962 0.076 0.749
Si 0.036 0.579 0.872
Si 0.216 0.949 0.625
Si 0.284 0.949 0.125
Si 0.464 0.579 0.372
Si 0.536 0.421 0.872
Si 0.716 0.051 0.625
Si 0.784 0.051 0.125
Si 0.964 0.421 0.372
O 0.007 0.892 0.869
O 0.032 0.557 0.275
O 0.033 0.542 0.472
O 0.059 0.002 0.631
O 0.192 0.518 0.875
O 0.210 0.060 0.224
O 0.229 0.102 0.027
O 0.250 0.640 0.116
O 0.250 0.640 0.616
O 0.271 0.102 0.527
O 0.290 0.060 0.724
O 0.308 0.518 0.375
O 0.441 0.002 0.131
O 0.467 0.542 0.972
O 0.468 0.557 0.775
O 0.493 0.892 0.369
O 0.507 0.108 0.869
O 0.532 0.443 0.275
O 0.533 0.458 0.472
O 0.559 0.998 0.631
O 0.692 0.482 0.875
O 0.710 0.940 0.224
O 0.729 0.898 0.027
O 0.750 0.360 0.116
O 0.750 0.360 0.616
O 0.771 0.898 0.527
O 0.790 0.940 0.724
O 0.808 0.482 0.375
O 0.941 0.998 0.131
O 0.967 0.458 0.972
O 0.968 0.443 0.775
O 0.993 0.108 0.369
```

Output
Total magnetization: 0.29 μB/atom
Total DFT energy (no corrections): -408.8 eV per cell


Entry 4:
DFT (GGA+U) results for a relaxed structure of Li7V3Si2O12. Values from VASP.

The structure in Quantum ESPRESSO input format:
```
&SYSTEM
  ibrav = 0, nat = 24, ntyp = 4
/
ATOMIC_SPECIES
Li 6.94 Li.upf
V 50.94 V.upf
Si 28.09 Si.upf
O 16.00 O.upf
CELL_PARAMETERS angstrom
2.489 -4.310 0.000
2.489 4.310 0.000
-1.658 0.000 9.712
ATOMIC_POSITIONS crystal
Li 0.000 0.000 0.000
Li 0.081 0.407 0.243
Li 0.246 0.246 0.757
Li 0.407 0.081 0.243
Li 0.593 0.919 0.757
Li 0.754 0.754 0.243
Li 0.919 0.593 0.757
V 0.167 0.833 0.500
V 0.500 0.500 0.500
V 0.833 0.167 0.500
Si 0.333 0.667 0.000
Si 0.667 0.333 0.000
O 0.034 0.660 0.103
O 0.125 0.125 0.377
O 0.207 0.539 0.620
O 0.340 0.966 0.897
O 0.409 0.409 0.103
O 0.461 0.793 0.380
O 0.539 0.207 0.620
O 0.591 0.591 0.897
O 0.660 0.034 0.103
O 0.793 0.461 0.380
O 0.875 0.875 0.623
O 0.966 0.340 0.897
```

Output
Total magnetization: 0.25 μB/atom
Total DFT energy (no corrections): -159.8 eV per cell


Entry 5:
DFT (GGA+U) results for a relaxed structure of Li2VSi6O15. Values from VASP.

The structure in Quantum ESPRESSO input format:
```
&SYSTEM
  ibrav = 0, nat = 96, ntyp = 4
/
ATOMIC_SPECIES
Li 6.94 Li.upf
V 50.94 V.upf
Si 28.09 Si.upf
O 16.00 O.upf
CELL_PARAMETERS angstrom
7.182 -8.523 0.000
7.182 8.523 0.000
0.000 0.000 10.001
ATOMIC_POSITIONS crystal
Li 0.014 0.486 0.250
Li 0.244 0.244 0.000
Li 0.256 0.256 0.500
Li 0.486 0.014 0.750
Li 0.514 0.986 0.250
Li 0.744 0.744 0.500
Li 0.756 0.756 0.000
Li 0.986 0.514 0.750
V 0.160 0.340 0.750
V 0.340 0.160 0.250
V 0.660 0.840 0.750
V 0.840 0.660 0.250
Si 0.022 0.761 0.510
Si 0.044 0.179 0.196
Si 0.079 0.705 0.046
Si 0.179 0.044 0.804
Si 0.205 0.579 0.546
Si 0.239 0.978 0.510
Si 0.261 0.522 0.010
Si 0.295 0.921 0.046
Si 0.321 0.456 0.304
Si 0.421 0.795 0.546
Si 0.456 0.321 0.696
Si 0.478 0.739 0.010
Si 0.522 0.261 0.990
Si 0.544 0.679 0.304
Si 0.579 0.205 0.454
Si 0.679 0.544 0.696
Si 0.705 0.079 0.954
Si 0.739 0.478 0.990
Si 0.761 0.022 0.490
Si 0.795 0.421 0.454
Si 0.821 0.956 0.196
Si 0.921 0.295 0.954
Si 0.956 0.821 0.804
Si 0.978 0.239 0.490
O 0.001 0.645 0.174
O 0.008 0.270 0.078
O 0.029 0.254 0.335
O 0.051 0.949 0.804
O 0.094 0.257 0.590
O 0.104 0.656 0.486
O 0.104 0.896 0.490
O 0.145 0.501 0.674
O 0.156 0.604 0.986
O 0.159 0.181 0.834
O 0.171 0.829 0.088
O 0.181 0.159 0.166
O 0.230 0.492 0.422
O 0.243 0.406 0.910
O 0.246 0.471 0.165
O 0.254 0.029 0.665
O 0.257 0.094 0.410
O 0.270 0.008 0.922
O 0.319 0.341 0.666
O 0.329 0.671 0.588
O 0.341 0.319 0.334
O 0.344 0.896 0.486
O 0.355 0.999 0.174
O 0.396 0.604 0.990
O 0.396 0.844 0.986
O 0.406 0.243 0.090
O 0.449 0.551 0.304
O 0.471 0.246 0.835
O 0.492 0.230 0.578
O 0.499 0.855 0.674
O 0.501 0.145 0.326
O 0.508 0.770 0.422
O 0.529 0.754 0.165
O 0.551 0.449 0.696
O 0.594 0.757 0.910
O 0.604 0.156 0.014
O 0.604 0.396 0.010
O 0.645 0.001 0.826
O 0.656 0.104 0.514
O 0.659 0.681 0.666
O 0.671 0.329 0.412
O 0.681 0.659 0.334
O 0.730 0.992 0.078
O 0.743 0.906 0.590
O 0.746 0.971 0.335
O 0.754 0.529 0.835
O 0.757 0.594 0.090
O 0.770 0.508 0.578
O 0.819 0.841 0.834
O 0.829 0.171 0.912
O 0.841 0.819 0.166
O 0.844 0.396 0.014
O 0.855 0.499 0.326
O 0.896 0.104 0.510
O 0.896 0.344 0.514
O 0.906 0.743 0.410
O 0.949 0.051 0.196
O 0.971 0.746 0.665
O 0.992 0.730 0.922
O 0.999 0.355 0.826
```

Output
Total magnetization: 0.04 μB/atom
Total DFT energy (no corrections): -723.9 eV per cell


Entry 6:
DFT (GGA+U) results for a relaxed structure of LiV2SiO. Values from VASP.

The structure in Quantum ESPRESSO input format:
```
&SYSTEM
  ibrav = 0, nat = 5, ntyp = 4
/
ATOMIC_SPECIES
Li 6.94 Li.upf
V 50.94 V.upf
Si 28.09 Si.upf
O 16.00 O.upf
CELL_PARAMETERS angstrom
4.317 0.000 0.000
0.000 4.317 0.000
0.000 0.000 3.937
ATOMIC_POSITIONS crystal
Li 0.000 0.000 0.000
V 0.000 0.500 0.500
V 0.500 0.000 0.500
Si 0.500 0.500 0.000
O 0.500 0.500 0.500
```

Output
Total magnetization: 1.08 μB/atom
Total DFT energy (no corrections): -27.3 eV per cell


Entry 7:
DFT (GGA+U) results for a relaxed structure of Li2Si2WO7. Values from VASP.

The structure in Quantum ESPRESSO input format:
```
&SYSTEM
  ibrav = 0, nat = 24, ntyp = 4
/
ATOMIC_SPECIES
Li 6.94 Li.upf
Si 28.09 Si.upf
W 183.84 W.upf
O 16.00 O.upf
CELL_PARAMETERS angstrom
5.426 0.000 0.000
0.546 6.175 0.000
0.501 2.879 8.312
ATOMIC_POSITIONS crystal
Li 0.200 0.053 0.351
Li 0.247 0.199 0.963
Li 0.753 0.801 0.037
Li 0.800 0.947 0.649
Si 0.194 0.731 0.844
Si 0.291 0.203 0.629
Si 0.709 0.797 0.371
Si 0.806 0.269 0.156
W 0.262 0.574 0.222
W 0.738 0.426 0.778
O 0.082 0.305 0.731
O 0.100 0.322 0.144
O 0.215 0.934 0.664
O 0.246 0.828 0.993
O 0.270 0.312 0.434
O 0.393 0.521 0.845
O 0.429 0.811 0.307
O 0.571 0.189 0.693
O 0.607 0.479 0.155
O 0.730 0.688 0.566
O 0.754 0.172 0.007
O 0.785 0.066 0.336
O 0.900 0.678 0.856
O 0.918 0.695 0.269
```

Output
Total magnetization: 0.17 μB/atom
Total DFT energy (no corrections): -171.5 eV per cell